Entry 1:
A plane-wave DFT calculation with PBE was carried out for a relaxed Ba2TaB crystal.

Summary:
The space group is No. 122. For the energy, the calculation gives -4.771 eV/atom. The formation energy is 0.823 eV per atom.

Cell lengths 11.5385, 11.5385, 8.4446 Å; angles 46.91, 46.91, 90.00 degrees
Last column: nearest neighbours and their distance in Å.
Sites, in units of the cell vectors:
B1 0.5000 0.5000 0.0000  2 Ta 2.18
B2 0.2500 0.7500 0.5000  2 Ta 2.18
Ba1 0.4539 0.1250 0.2500  2 B 3.07, 2 Ta 3.44
Ba2 0.2961 0.6250 0.2500  2 B 3.07, 2 Ta 3.44
Ba3 0.3750 0.5461 0.7500  2 B 3.07, 2 Ta 3.44
Ba4 0.8750 0.7039 0.7500  2 B 3.07, 2 Ta 3.44
Ta1 0.0000 0.0000 0.0000  2 B 2.18
Ta2 0.7500 0.2500 0.5000  2 B 2.18

***

Entry 2:
A plane-wave DFT calculation with PBE was carried out for a relaxed TmTiH2 crystal.

Summary:
The space group is No. 166. For the energy, the calculation gives -5.009 eV/atom.

Cell lengths 3.1912, 3.1912, 5.5549 Å; angles 73.31, 73.31, 60.00 degrees
Last column: nearest neighbours and their distance in Å.
Sites, in units of the cell vectors:
H1 0.7730 0.7730 0.6811  3 Ti 2.07
H2 0.2270 0.2270 0.3189  3 Ti 2.07
Tm1 0.0000 0.0000 0.0000  6 H 2.49
Ti1 0.5000 0.5000 0.5000  6 H 2.07

***

Entry 3:
A plane-wave DFT calculation with PBE was carried out for a relaxed Sc2CrRe crystal.

Summary:
The space group is No. 10. For the energy, the calculation gives -8.423 eV/atom. The formation energy is 0.261 eV per atom. For the distance to the lowest polymorph of the same formula, the calculation gives 278 meV per atom.

Cell lengths 4.4313, 2.8698, 5.4603 Å; angles 80.59, 90.00, 90.00 degrees
Last column: nearest neighbours and their distance in Å.
Sites, in units of the cell vectors:
Cr1 0.5000 0.2500 0.2500  4 Sc 2.77, 2 Re 2.87, 2 Cr 2.87
Re1 0.5000 0.7500 0.7500  4 Sc 2.74, 2 Cr 2.87, 2 Re 2.87
Sc1 0.0000 0.9930 0.9976  2 Re 2.74, 2 Cr 2.77, 4 Sc 2.86-2.88
Sc2 0.0000 0.5070 0.5024  2 Re 2.74, 2 Cr 2.77, 4 Sc 2.86-2.88

***

Entry 4:
A plane-wave DFT calculation with PBE was carried out for a relaxed CeReGe2 crystal.

Summary:
The space group is No. 225. For the energy, the calculation gives -7.116 eV/atom. The formation energy is -0.212 eV per atom.

Cell lengths 4.6753, 4.6753, 4.6736 Å; angles 59.99, 59.99, 60.00 degrees
Last column: nearest neighbours and their distance in Å.
Sites, in units of the cell vectors:
Re1 0.0000 0.0000 0.0000  8 Ge 2.86
Ge1 0.2499 0.2499 0.2502  4 Re 2.86, 4 Ce 2.86
Ge2 0.7501 0.7501 0.7498  4 Re 2.86, 4 Ce 2.86
Ce1 0.5000 0.5000 0.5000  8 Ge 2.86

***

Entry 5:
A plane-wave DFT calculation with PBE was carried out for a relaxed Ca2Ac6Ru crystal.

Summary:
The space group is No. 71. For the energy, the calculation gives -4.270 eV/atom. The formation energy is -0.055 eV per atom.

Cell lengths 8.2375, 9.5855, 9.7643 Å; angles 90.00, 90.00, 89.98 degrees
Last column: nearest neighbours and their distance in Å.
Sites, in units of the cell vectors:
Ca1 0.0001 0.2914 0.5000  1 Ca 4.00, 10 Ac 4.03-4.12
Ca2 0.4999 0.2086 0.0000  1 Ca 4.00, 10 Ac 4.03-4.12
Ca3 0.5001 0.7914 0.0000  1 Ca 4.00, 10 Ac 4.03-4.12
Ca4 0.9999 0.7086 0.5000  1 Ca 4.00, 10 Ac 4.03-4.12
Ac1 0.0002 0.7996 0.0000  1 Ru 2.87
Ac2 0.2492 0.4999 0.2097  1 Ru 2.90
Ac3 0.2508 0.0001 0.2903  1 Ru 2.90
Ac4 0.2492 0.4999 0.7903  1 Ru 2.90
Ac5 0.2508 0.0001 0.7097  1 Ru 2.90
Ac6 0.4998 0.7004 0.5000  1 Ru 2.87
Ac7 0.9998 0.2004 0.0000  1 Ru 2.87
Ac8 0.7508 0.5001 0.7903  1 Ru 2.90
Ac9 0.7492 0.9999 0.7097  1 Ru 2.90
Ac10 0.7508 0.5001 0.2097  1 Ru 2.90
Ac11 0.7492 0.9999 0.2903  1 Ru 2.90
Ac12 0.5002 0.2996 0.5000  1 Ru 2.87
Ru1 0.5000 0.0000 0.5000  6 Ac 2.87-2.90
Ru2 0.0000 0.5000 0.0000  6 Ac 2.87-2.90

***

Entry 6:
A plane-wave DFT calculation with PBE was carried out for a relaxed Y4AsSe3 crystal.

Summary:
As for the formation energy (no corrections): -1.7573 eV/atom. The space group is No. 139. For the energy, the calculation gives -6.877 eV/atom.

Cell lengths 5.7824, 5.7824, 7.1065 Å; angles 65.99, 65.99, 90.00 degrees
Last column: nearest neighbours and their distance in Å.
Sites, in units of the cell vectors:
Y1 0.9923 0.4923 0.0153  1 As 2.82, 5 Se 2.89-3.00
Y2 0.5077 0.0077 0.9847  1 As 2.82, 5 Se 2.89-3.00
Y3 0.7500 0.7500 0.5000  2 As 2.89, 4 Se 2.89-2.91
Y4 0.2500 0.2500 0.5000  4 Se 2.89-2.91, 2 As 2.89
As1 0.7500 0.2500 0.5000  6 Y 2.82-2.89
Se1 0.0001 0.9999 0.0000  6 Y 2.89-2.91
Se2 0.4999 0.5001 0.0000  6 Y 2.89-2.91
Se3 0.2500 0.7500 0.5000  6 Y 2.89-3.00

***

Entry 7:
A plane-wave DFT calculation with PBE was carried out for a relaxed CaTb2DySb4 crystal.

Summary:
As for the formation energy (no corrections): -1.0357 eV/atom. The space group is No. 69. For the energy, the calculation gives -5.080 eV/atom.

Cell lengths 6.2550, 6.2550, 7.6709 Å; angles 114.09, 114.09, 89.92 degrees
Last column: nearest neighbours and their distance in Å.
Sites, in units of the cell vectors:
Ca1 0.4372 0.4372 0.0000  6 Sb 3.13-3.19
Tb1 0.1872 0.6872 0.5000  6 Sb 3.13
Tb2 0.6872 0.1872 0.5000  6 Sb 3.13
Dy1 0.9371 0.9371 0.0000  6 Sb 3.08-3.13
Sb1 0.9372 0.4371 0.0000  2 Ca 3.13, 2 Dy 3.13, 2 Tb 3.13
Sb2 0.4371 0.9372 0.0000  2 Ca 3.13, 2 Dy 3.13, 2 Tb 3.13
Sb3 0.1827 0.1827 0.4910  1 Dy 3.08, 4 Tb 3.13, 1 Ca 3.19
Sb4 0.6917 0.6917 0.5090  1 Dy 3.08, 4 Tb 3.13, 1 Ca 3.19

***

Entry 8:
A plane-wave DFT calculation with PBE was carried out for a relaxed Rb2NiI4 crystal.

Summary:
As for the formation energy (no corrections): -0.8348 eV/atom. The space group is No. 139. For the energy, the calculation gives -2.823 eV/atom.

Cell lengths 5.6260, 5.6260, 9.7566 Å; angles 106.76, 106.76, 90.00 degrees
Last column: nearest neighbours and their distance in Å.
Sites, in units of the cell vectors:
I1 0.8513 0.8513 0.7026  1 Ni 2.65
I2 0.1487 0.1487 0.2974  1 Ni 2.65
I3 0.0000 0.5000 0.0000  2 Ni 2.81
I4 0.5000 0.0000 0.0000  2 Ni 2.81
Ni1 0.0000 0.0000 0.0000  6 I 2.65-2.81
Rb1 0.6385 0.6385 0.2769  9 I 3.74-3.98
Rb2 0.3615 0.3615 0.7231  9 I 3.74-3.98